A relaxed structure of KSb2Cl6. Source: Alexandria via LeMat-Bulk, functional GGA-PBE.

```
data_KSb2Cl6
_cell_length_a 11.970
_cell_length_b 8.633
_cell_length_c 8.633
_cell_angle_alpha 92.17
_cell_angle_beta 67.26
_cell_angle_gamma 67.26
_space_group_name_H-M_alt 'P 1'
_space_group_IT_number 1
loop_
_space_group_symop_operation_xyz
'x,y,z'
loop_
_atom_site_label
_atom_site_type_symbol
_atom_site_fract_x
_atom_site_fract_y
_atom_site_fract_z
Cl1 Cl 0.010 0.359 0.328
Cl2 Cl 0.129 0.786 0.931
Cl3 Cl 0.371 0.069 0.214
Cl4 Cl 0.360 0.351 0.818
Sb1 Sb 0.204 0.340 0.436
Cl5 Cl 0.990 0.641 0.672
K1 K 0.750 0.942 0.058
Sb2 Sb 0.704 0.436 0.340
Cl6 Cl 0.871 0.214 0.069
Cl7 Cl 0.629 0.931 0.786
Cl8 Cl 0.860 0.818 0.351
Sb3 Sb 0.296 0.564 0.660
Cl9 Cl 0.140 0.182 0.649
Cl10 Cl 0.490 0.672 0.641
Cl11 Cl 0.640 0.649 0.182
Sb4 Sb 0.796 0.660 0.564
K2 K 0.250 0.058 0.942
Cl12 Cl 0.510 0.328 0.359
```

Computed properties:
The calculation puts the energy above the lowest structure with this stoichiometry at 0 meV per atom. The value obtained for the total energy is -29.32 eV/f.u.

---

A relaxed structure of KSbCl2. Source: Alexandria via LeMat-Bulk, functional GGA-PBE.

```
data_KSbCl2
_cell_length_a 4.498
_cell_length_b 3.678
_cell_length_c 7.062
_cell_angle_alpha 89.92
_cell_angle_beta 90.00
_cell_angle_gamma 90.00
_space_group_name_H-M_alt 'P 1'
_space_group_IT_number 1
loop_
_space_group_symop_operation_xyz
'x,y,z'
loop_
_atom_site_label
_atom_site_type_symbol
_atom_site_fract_x
_atom_site_fract_y
_atom_site_fract_z
Cl1 Cl 0.000 0.750 0.503
Sb1 Sb 0.500 0.750 0.750
K1 K 0.500 0.250 0.250
Cl2 Cl 0.000 0.750 0.997
```

Computed properties:
The calculation puts the energy above the lowest structure with this stoichiometry at 106 meV per atom. The value obtained for the total energy is -12.51 eV/f.u.

---

A relaxed structure of KSb2Cl8. Source: Alexandria via LeMat-Bulk, functional GGA-PBE.

```
data_KSb2Cl8
_cell_length_a 7.171
_cell_length_b 7.480
_cell_length_c 7.480
_cell_angle_alpha 65.39
_cell_angle_beta 87.30
_cell_angle_gamma 87.30
_space_group_name_H-M_alt 'P 1'
_space_group_IT_number 1
loop_
_space_group_symop_operation_xyz
'x,y,z'
loop_
_atom_site_label
_atom_site_type_symbol
_atom_site_fract_x
_atom_site_fract_y
_atom_site_fract_z
Cl1 Cl 0.756 0.472 0.472
Sb1 Sb 0.386 0.347 0.347
K1 K 0.000 0.000 0.000
Cl2 Cl 0.624 0.319 0.953
Cl3 Cl 0.900 0.745 0.745
Cl4 Cl 0.244 0.528 0.528
Sb2 Sb 0.614 0.653 0.653
Cl5 Cl 0.624 0.953 0.319
Cl6 Cl 0.376 0.047 0.681
Cl7 Cl 0.376 0.681 0.047
Cl8 Cl 0.100 0.255 0.255
```

Computed properties:
The calculation puts the energy above the lowest structure with this stoichiometry at 0 meV per atom. The value obtained for the total energy is -34.49 eV/f.u.

---

A relaxed structure of KSbCl. Source: Alexandria via LeMat-Bulk, functional GGA-PBE.

```
data_KSbCl
_cell_length_a 5.624
_cell_length_b 5.624
_cell_length_c 5.624
_cell_angle_alpha 60.00
_cell_angle_beta 60.00
_cell_angle_gamma 60.00
_space_group_name_H-M_alt 'P 1'
_space_group_IT_number 1
loop_
_space_group_symop_operation_xyz
'x,y,z'
loop_
_atom_site_label
_atom_site_type_symbol
_atom_site_fract_x
_atom_site_fract_y
_atom_site_fract_z
Cl1 Cl 0.750 0.750 0.750
Sb1 Sb 0.500 0.500 0.500
K1 K 0.000 0.000 0.000
```

Computed properties:
The calculation puts the energy above the lowest structure with this stoichiometry at 319 meV per atom. The value obtained for the total energy is -7.82 eV/f.u.

---

A relaxed structure of KSbCl. Source: Alexandria via LeMat-Bulk, functional GGA-PBE.

```
data_KSbCl
_cell_length_a 5.712
_cell_length_b 5.712
_cell_length_c 5.712
_cell_angle_alpha 60.00
_cell_angle_beta 60.00
_cell_angle_gamma 60.00
_space_group_name_H-M_alt 'P 1'
_space_group_IT_number 1
loop_
_space_group_symop_operation_xyz
'x,y,z'
loop_
_atom_site_label
_atom_site_type_symbol
_atom_site_fract_x
_atom_site_fract_y
_atom_site_fract_z
Cl1 Cl 0.500 0.500 0.500
K1 K 0.750 0.750 0.750
Sb1 Sb 0.000 0.000 0.000
```

Computed properties:
The calculation puts the energy above the lowest structure with this stoichiometry at 388 meV per atom. The value obtained for the total energy is -7.61 eV/f.u.

---

A relaxed structure of KSb2Cl. Source: Alexandria via LeMat-Bulk, functional GGA-PBE.

```
data_KSb2Cl
_cell_length_a 3.337
_cell_length_b 3.337
_cell_length_c 10.356
_cell_angle_alpha 90.00
_cell_angle_beta 90.00
_cell_angle_gamma 97.52
_space_group_name_H-M_alt 'P 1'
_space_group_IT_number 1
loop_
_space_group_symop_operation_xyz
'x,y,z'
loop_
_atom_site_label
_atom_site_type_symbol
_atom_site_fract_x
_atom_site_fract_y
_atom_site_fract_z
Sb1 Sb 0.000 0.000 0.469
Cl1 Cl 0.500 0.500 0.250
Sb2 Sb 0.000 0.000 0.031
K1 K 0.500 0.500 0.750
```

Computed properties:
The calculation puts the energy above the lowest structure with this stoichiometry at 848 meV per atom. The value obtained for the total energy is -10.93 eV/f.u.